[1]
# InBiSb2N, PBEsol geometry, DFT SCAN
# E in eV/cell: -187.48
# Formation energy (no corrections) in eV/atom: 1.659
# Total magnetic moment in μB/atom: 0.5865
data_InBiSb2N
_chemical_formula_sum 'In1 Bi1 Sb2 N1'
_cell_length_a 5.844
_cell_length_b 5.844
_cell_length_c 6.069
_cell_angle_alpha 90.00
_cell_angle_beta 90.00
_cell_angle_gamma 90.00
_space_group_name_H-M_alt 'P 4/m m m'
_space_group_IT_number 123
_space_group_name_Hall '-P 4 2'
loop_
_atom_site_label
_atom_site_type_symbol
_atom_site_fract_x
_atom_site_fract_y
_atom_site_fract_z
In1 In 0.000 0.000 0.000
Bi1 Bi 0.000 0.000 0.500
Sb1 Sb 0.000 0.500 0.500
N1 N 0.500 0.500 0.000

[2]
# NaInBi2, PBEsol geometry, DFT SCAN
# Energy relative to the elements in eV per atom: -0.143
# E in eV/cell: -781.34
# Total magnetic moment in μB/atom: 0.0000
data_NaInBi2
_chemical_formula_sum 'Na4 In4 Bi8'
_cell_length_a 8.641
_cell_length_b 8.641
_cell_length_c 6.540
_cell_angle_alpha 90.00
_cell_angle_beta 90.00
_cell_angle_gamma 90.00
_space_group_name_H-M_alt 'I -4 2 d'
_space_group_IT_number 122
_space_group_name_Hall 'I -4 2bw'
loop_
_atom_site_label
_atom_site_type_symbol
_atom_site_fract_x
_atom_site_fract_y
_atom_site_fract_z
Na1 Na 0.000 0.000 0.000
In1 In 0.000 0.000 0.500
Bi1 Bi 0.214 0.750 0.625

[3]
# Na3In2Bi3, PBEsol geometry, DFT SCAN
# Energy relative to the elements in eV per atom: -0.252
# E in eV/cell: -1268.70
# Total magnetic moment in μB/atom: 0.0000
data_Na3In2Bi3
_chemical_formula_sum 'Na12 In8 Bi12'
_cell_length_a 8.095
_cell_length_b 4.531
_cell_length_c 26.972
_cell_angle_alpha 90.00
_cell_angle_beta 90.55
_cell_angle_gamma 90.00
_space_group_name_H-M_alt 'P 1 m 1'
_space_group_IT_number 6
loop_
_space_group_symop_operation_xyz
'x,y,z'
'x,-y,z'
loop_
_atom_site_label
_atom_site_type_symbol
_atom_site_fract_x
_atom_site_fract_y
_atom_site_fract_z
Na1 Na 0.000 0.000 0.000
Na2 Na 0.003 0.000 0.344
Na3 Na 0.458 0.500 0.184
Na4 Na 0.474 0.500 0.849
Na5 Na 0.477 0.500 0.531
Na6 Na 0.493 0.000 0.736
Na7 Na 0.512 0.000 0.047
Na8 Na 0.517 0.000 0.391
Na9 Na 0.944 0.500 0.227
Na10 Na 0.951 0.500 0.570
Na11 Na 0.972 0.500 0.883
Na12 Na 0.991 0.000 0.686
In1 In 0.112 0.000 0.490
In2 In 0.119 0.000 0.144
In3 In 0.319 0.500 0.660
In4 In 0.341 0.500 0.315
In5 In 0.342 0.500 0.969
In6 In 0.817 0.500 0.762
In7 In 0.823 0.500 0.082
In8 In 0.828 0.500 0.426
Bi1 Bi 0.189 0.500 0.760
Bi2 Bi 0.211 0.500 0.077
Bi3 Bi 0.218 0.500 0.427
Bi4 Bi 0.247 0.000 0.249
Bi5 Bi 0.249 0.000 0.906
Bi6 Bi 0.268 0.000 0.591
Bi7 Bi 0.686 0.500 0.659
Bi8 Bi 0.709 0.500 0.978
Bi9 Bi 0.711 0.500 0.322
Bi10 Bi 0.740 0.000 0.149
Bi11 Bi 0.741 0.000 0.493
Bi12 Bi 0.749 0.000 0.828

Question: The highest total magnetic moment belongs to which entry?
Answer: InBiSb2N

Question: Which value of total magnetic moment does entry 2 give?
Answer: 0.0000 μB/atom